(1)
MgH3Ir2 after structural relaxation, computed with GGA-PBE.

a = 2.8020 Å, b = 4.3496 Å, c = 5.0081 Å
α = 90.00°, β = 90.29°, γ = 90.00°
Atoms (fractional coordinates):
Mg 0.0000 0.0000 0.0000
H 0.4900 0.5000 0.1179
H 0.4981 0.2739 0.7466
H 0.4981 0.7261 0.7466
Ir 0.4954 0.0000 0.5253
Ir 0.9928 0.5000 0.3336

Output
* uncorrected energy: -4.9295 eV/atom
* space-group type: Pm, No. 6
* calculated density: 11.20 g cm⁻³

---

(2)
MgH3Ir after structural relaxation, computed with GGA-PBE.

a = 6.3780 Å, b = 6.3780 Å, c = 4.4852 Å
α = 90.01°, β = 90.01°, γ = 150.83°
Atoms (fractional coordinates):
Mg 0.0000 0.0000 0.0000
Mg 0.7473 0.2527 0.5000
H 0.1424 0.3896 0.7400
H 0.1790 0.7998 0.7649
H 0.2002 0.8210 0.2351
H 0.5560 0.4184 0.7406
H 0.5816 0.4440 0.2594
H 0.6104 0.8576 0.2600
Ir 0.2916 0.7084 0.0000
Ir 0.4683 0.5317 0.5000

Output
* uncorrected energy: -4.3368 eV/atom
* space-group type: C2, No. 5
* calculated density: 8.20 g cm⁻³

---

(3)
Mg3H2Ir5 after structural relaxation, computed with GGA-PBE.

a = 5.3283 Å, b = 5.3283 Å, c = 4.9544 Å
α = 90.57°, β = 90.57°, γ = 65.05°
Atoms (fractional coordinates):
Mg 0.0000 0.0000 0.0000
Mg 0.2731 0.7253 0.5022
Mg 0.7253 0.2731 0.5022
H 0.1770 0.1770 0.6464
H 0.9281 0.9281 0.3637
Ir 0.2501 0.2501 0.3115
Ir 0.4944 0.4944 0.9909
Ir 0.5056 0.9876 0.8438
Ir 0.7431 0.7431 0.3090
Ir 0.9876 0.5056 0.8438

Output
* uncorrected energy: -5.7280 eV/atom
* space-group type: Cm, No. 8
* calculated density: 13.49 g cm⁻³

---

(4)
Mg2H5Ir after structural relaxation, computed with GGA-PBE.

a = 3.7270 Å, b = 3.7363 Å, c = 6.4619 Å
α = 89.88°, β = 89.98°, γ = 76.43°
Atoms (fractional coordinates):
Mg 0.0000 0.0000 0.0000
Mg 0.0006 0.0041 0.5464
H 0.0598 0.0609 0.2729
H 0.0932 0.5572 0.7729
H 0.5503 0.0877 0.7731
H 0.5928 0.5927 0.0356
H 0.5925 0.5939 0.5105
Ir 0.5980 0.6024 0.7731

Output
* uncorrected energy: -3.8194 eV/atom
* space-group type: P1, No. 1
* calculated density: 4.67 g cm⁻³

---

(5)
Mg5H2Ir2 after structural relaxation, computed with GGA-PBE.

a = 4.6190 Å, b = 5.4533 Å, c = 6.3539 Å
α = 71.55°, β = 86.91°, γ = 66.90°
Atoms (fractional coordinates):
Mg 0.0000 0.0000 0.0000
Mg 0.3163 0.3367 0.0910
Mg 0.3284 0.2627 0.5790
Mg 0.6716 0.7373 0.4210
Mg 0.6837 0.6633 0.9090
H 0.4603 0.4792 0.7555
H 0.5397 0.5208 0.2445
Ir 0.1419 0.7809 0.6696
Ir 0.8581 0.2191 0.3304

Output
* uncorrected energy: -3.8900 eV/atom
* space-group type: P-1, No. 2
* calculated density: 6.06 g cm⁻³

---

(6)
MgHIr after structural relaxation, computed with GGA-PBE.

a = 4.6015 Å, b = 4.6039 Å, c = 5.5521 Å
α = 89.93°, β = 89.98°, γ = 60.05°
Atoms (fractional coordinates):
Mg 0.0000 0.0000 0.0000
Mg 0.3317 0.3323 0.6664
Mg 0.6673 0.6651 0.3331
H 0.1784 0.1542 0.3336
H 0.8158 0.3331 0.6664
H 0.9993 0.5132 0.9998
Ir 0.3685 0.3330 0.1664
Ir 0.6302 0.7017 0.8331
Ir 0.9991 0.9640 0.5001

Output
* uncorrected energy: -4.9019 eV/atom
* space-group type: P1, No. 1
* calculated density: 10.63 g cm⁻³

---

(7)
MgH2Ir5 after structural relaxation, computed with GGA-PBE.

a = 5.0009 Å, b = 5.0009 Å, c = 4.8657 Å
α = 99.72°, β = 99.72°, γ = 122.30°
Atoms (fractional coordinates):
Mg 0.0000 0.0000 0.0000
H 0.5406 0.5406 0.8646
H 0.8848 0.8848 0.5520
Ir 0.1894 0.8212 0.4887
Ir 0.3061 0.6758 0.9933
Ir 0.4825 0.4825 0.4740
Ir 0.6758 0.3061 0.9933
Ir 0.8212 0.1894 0.4887

Output
* uncorrected energy: -6.5333 eV/atom
* space-group type: Cm, No. 8
* calculated density: 17.02 g cm⁻³

---

(8)
Mg5H2Ir2 after structural relaxation, computed with GGA-PBE.

a = 5.3039 Å, b = 5.3039 Å, c = 5.4945 Å
α = 97.97°, β = 97.97°, γ = 61.74°
Atoms (fractional coordinates):
Mg 0.0000 0.0000 0.0000
Mg 0.2468 0.7544 0.4994
Mg 0.2922 0.2922 0.8408
Mg 0.7079 0.7079 0.1561
Mg 0.7544 0.2468 0.4994
H 0.4017 0.4017 0.2202
H 0.5996 0.5996 0.7769
Ir 0.2375 0.2375 0.3322
Ir 0.7638 0.7638 0.6650

Output
* uncorrected energy: -3.8827 eV/atom
* space-group type: Cm, No. 8
* calculated density: 6.28 g cm⁻³